# MnCr2Fe

An optimized crystal structure of MnCr2Fe (PBEsol, Alexandria).

crystal system	tetragonal
uncorrected energy	-9.645	eV/atom

The structure in POSCAR format:
```
MnCr2Fe
1.0
3.4045 0.0000 0.0000
0.0000 3.5409 0.0000
0.0000 0.0000 3.5409
Mn Cr Fe
1 2 1
Direct
0.5000 0.0000 0.0000
0.0000 0.5000 0.0000
0.0000 0.0000 0.5000
0.5000 0.5000 0.5000
```

---

# MnCr2Fe

An optimized crystal structure of MnCr2Fe (PBEsol, Alexandria).

crystal system	orthorhombic
uncorrected energy	-9.725	eV/atom

The structure in POSCAR format:
```
MnCr2Fe
1.0
2.8323 0.0000 0.0000
0.0000 3.9085 0.0000
0.0000 0.0000 3.9177
Cr Fe Mn
2 1 1
Direct
0.5000 0.5000 0.0000
0.0000 0.0000 0.0000
0.5000 0.0000 0.5000
0.0000 0.5000 0.5000
```

---

# Mn2CrFe

An optimized crystal structure of Mn2CrFe (PBEsol, Alexandria).

crystal system	monoclinic
uncorrected energy	-9.564	eV/atom

The structure in POSCAR format:
```
Mn2CrFe
1.0
2.3941 -0.0125 0.0000
-0.6125 4.5132 0.0000
-0.8908 -2.2504 3.9590
Mn Fe Cr
2 1 1
Direct
0.5000 0.5000 0.5000
0.0000 0.0000 0.5000
0.5000 0.0000 0.0000
0.0000 0.5000 0.0000
```

---

# MnCr2Fe

An optimized crystal structure of MnCr2Fe (PBEsol, Alexandria).

crystal system	tetragonal
uncorrected energy	-9.626	eV/atom

The structure in POSCAR format:
```
MnCr2Fe
1.0
-2.5183 -2.3155 -0.4925
0.5169 -1.2396 3.1846
-1.3948 4.1072 -0.0504
Cr Mn Fe
2 1 1
Direct
0.0000 0.0000 0.0000
0.7500 0.2500 0.5000
0.2500 0.7500 0.5000
0.5000 0.5000 0.0000
```

---

# Mn2CrFe

An optimized crystal structure of Mn2CrFe (PBEsol, Alexandria).

crystal system	cubic
uncorrected energy	-9.575	eV/atom

The structure in POSCAR format:
```
Mn2CrFe
1.0
3.9273 0.0000 0.0000
1.9637 3.4012 0.0000
1.9637 1.1337 3.2067
Fe Mn Cr
1 2 1
Direct
0.2500 0.2500 0.2500
0.0000 0.0000 0.0000
0.7500 0.7500 0.7500
0.5000 0.5000 0.5000
```

---

# Mn2Cr3FeO8

An optimized crystal structure of Mn2Cr3FeO8 (PBEsol, Alexandria).

crystal system	trigonal
formation energy from raw total energies	-1616	meV/atom

The structure in POSCAR format:
```
Mn2Cr3FeO8
1.0
5.8360 -0.0451 -0.0319
2.8673 5.0833 -0.0319
2.8673 1.6598 4.8047
O Cr Fe Mn
8 3 1 2
Direct
0.2351 0.2351 0.7887
0.2113 0.7649 0.7649
0.7649 0.2113 0.7649
0.7628 0.7628 0.7628
0.2372 0.2372 0.2372
0.2351 0.7887 0.2351
0.7887 0.2351 0.2351
0.7649 0.7649 0.2113
0.5000 0.0000 0.0000
0.0000 0.5000 0.0000
0.0000 0.0000 0.5000
0.0000 0.0000 0.0000
0.3766 0.3766 0.3766
0.6234 0.6234 0.6234
```

---

# MnCrFe2Se

An optimized crystal structure of MnCrFe2Se (PBEsol, Alexandria).

crystal system	tetragonal
formation energy from raw total energies	1168	meV/atom

The structure in POSCAR format:
```
MnCrFe2Se
1.0
4.1796 0.0000 0.0000
0.0000 4.1796 0.0000
0.0000 0.0000 4.4119
Cr Fe Se Mn
1 2 1 1
Direct
0.5000 0.5000 0.5000
0.0000 0.5000 0.0000
0.5000 0.0000 0.0000
0.0000 0.0000 0.5000
0.0000 0.0000 0.0000
```

---

# TiMn2CrFe

An optimized crystal structure of TiMn2CrFe (PBEsol, Alexandria).

crystal system	tetragonal
uncorrected energy	-7.966	eV/atom

The structure in POSCAR format:
```
TiMn2CrFe
1.0
-3.3865 -0.9309 -2.6150
2.7484 -1.7024 -2.9532
-0.3716 -3.7512 1.8166
Ti Cr Mn Fe
1 1 2 1
Direct
0.0000 0.0000 0.0000
0.5000 0.5000 0.5000
0.5000 0.0000 0.0000
0.0000 0.5000 0.0000
0.0000 0.0000 0.5000
```

---

# Cr2FeMo

An optimized crystal structure of Cr2FeMo (PBEsol, Alexandria).

crystal system	monoclinic
uncorrected energy	-10.051	eV/atom

The structure in POSCAR format:
```
Cr2FeMo
1.0
2.6658 0.0000 0.0000
0.0000 4.2535 0.0012
-1.3329 -1.0537 4.2496
Cr Mo Fe
2 1 1
Direct
0.7695 0.7845 0.5389
0.2305 0.2155 0.4611
0.0000 0.5000 0.0000
0.5000 0.0000 0.0000
```

---

# Cr2FeMo

An optimized crystal structure of Cr2FeMo (PBEsol, Alexandria).

crystal system	cubic
uncorrected energy	-10.136	eV/atom

The structure in POSCAR format:
```
Cr2FeMo
1.0
4.0911 0.0000 0.0000
2.0455 3.5430 0.0000
2.0455 1.1810 3.3403
Cr Fe Mo
2 1 1
Direct
0.2500 0.2500 0.2500
0.7500 0.7500 0.7500
0.0000 0.0000 0.0000
0.5000 0.5000 0.5000
```

---

# Cr2FeMo

An optimized crystal structure of Cr2FeMo (PBEsol, Alexandria).

crystal system	tetragonal
uncorrected energy	-10.002	eV/atom

The structure in POSCAR format:
```
Cr2FeMo
1.0
-1.3697 -0.8679 3.1879
3.1733 -1.3064 1.0078
0.0690 4.4794 -0.7571
Mo Cr Fe
1 2 1
Direct
0.2500 0.7500 0.5000
0.7500 0.2500 0.5000
0.0000 0.0000 0.0000
0.5000 0.5000 0.0000
```

---

# Cr2FeMo

An optimized crystal structure of Cr2FeMo (PBEsol, Alexandria).

crystal system	tetragonal
uncorrected energy	-10.145	eV/atom

The structure in POSCAR format:
```
Cr2FeMo
1.0
2.9649 0.0000 0.0000
0.0000 4.0470 0.0000
0.0000 0.0000 4.0470
Mo Fe Cr
1 1 2
Direct
0.5000 0.0000 0.0000
0.5000 0.5000 0.5000
0.0000 0.0000 0.5000
0.0000 0.5000 0.0000
```

---

# NaCrFeMo2

An optimized crystal structure of NaCrFeMo2 (PBEsol, Alexandria).

crystal system	tetragonal
uncorrected energy	-7.460	eV/atom

The structure in POSCAR format:
```
NaCrFeMo2
1.0
-3.5662 -0.0168 2.6732
2.6534 -0.2312 3.5383
0.1254 4.4226 0.1950
Cr Fe Na Mo
1 1 1 2
Direct
0.0000 0.0000 0.0000
0.5000 0.0000 0.0000
0.5000 0.5000 0.5000
0.0000 0.0000 0.5000
0.0000 0.5000 0.0000
```

---

# CrFeMoOs2

An optimized crystal structure of CrFeMoOs2 (PBEsol, Alexandria).

crystal system	tetragonal
uncorrected energy	-9.384	eV/atom

The structure in POSCAR format:
```
CrFeMoOs2
1.0
-4.1576 0.2967 -1.1469
0.7929 -2.4842 -3.5169
-0.9004 -3.5927 2.3347
Os Mo Cr Fe
2 1 1 1
Direct
0.0000 0.0000 0.5000
0.0000 0.5000 0.0000
0.5000 0.0000 0.0000
0.0000 0.0000 0.0000
0.5000 0.5000 0.5000
```

---

# CrFeN2

An optimized crystal structure of CrFeN2 (PBEsol, Alexandria).

crystal system	tetragonal
formation energy from raw total energies	-435	meV/atom

The structure in POSCAR format:
```
CrFeN2
1.0
4.2191 0.0000 0.0000
0.0000 4.2191 0.0000
-2.1095 -2.1095 4.2650
N Fe Cr
4 2 2
Direct
0.3727 0.8750 0.2500
0.1250 0.1227 0.7500
0.6250 0.6273 0.7500
0.8773 0.3750 0.2500
0.0000 0.0000 0.0000
0.2500 0.7500 0.5000
0.5000 0.5000 0.0000
0.7500 0.2500 0.5000
```

---

# CrFeN3

An optimized crystal structure of CrFeN3 (PBEsol, Alexandria).

crystal system	cubic
formation energy from raw total energies	931	meV/atom

The structure in POSCAR format:
```
CrFeN3
1.0
-1.2225 0.9304 -3.2542
-0.5929 -3.4654 -0.7680
-3.3323 0.2752 1.3306
N Cr Fe
3 1 1
Direct
0.5000 0.0000 0.0000
0.0000 0.5000 0.0000
0.0000 0.0000 0.5000
0.5000 0.5000 0.5000
0.0000 0.0000 0.0000
```

---

# CrFeSN2

An optimized crystal structure of CrFeSN2 (PBEsol, Alexandria).

crystal system	tetragonal
formation energy from raw total energies	561	meV/atom

The structure in POSCAR format:
```
CrFeSN2
1.0
3.5063 0.0000 0.0000
0.0000 3.5063 0.0000
0.0000 0.0000 4.8671
S Fe Cr N
1 1 1 2
Direct
0.0000 0.0000 0.5000
0.0000 0.0000 0.0000
0.5000 0.5000 0.5000
0.0000 0.5000 0.0000
0.5000 0.0000 0.0000
```

---

# NaCr2FeO8

An optimized crystal structure of NaCr2FeO8 (PBEsol, Alexandria).

crystal system	monoclinic
formation energy from raw total energies	-1669	meV/atom

The structure in POSCAR format:
```
NaCr2FeO8
1.0
4.9464 0.0109 -0.0501
2.0328 4.5094 -0.0501
0.1772 0.1148 6.7916
O Cr Fe Na
8 2 1 1
Direct
0.2875 0.2875 0.5656
0.2647 0.7844 0.1950
0.7353 0.2156 0.8050
0.7844 0.2647 0.1950
0.7125 0.7125 0.4344
0.7827 0.7827 0.0484
0.2156 0.7353 0.8050
0.2173 0.2173 0.9516
0.6394 0.6394 0.2184
0.3606 0.3606 0.7816
0.0000 0.0000 0.0000
0.0000 0.0000 0.5000
```

---

# NbCrFe

An optimized crystal structure of NbCrFe (PBEsol, Alexandria).

crystal system	orthorhombic
uncorrected energy	-10.101	eV/atom

The structure in POSCAR format:
```
NbCrFe
1.0
4.7783 0.0000 0.0000
-2.3892 4.1930 0.0000
0.0000 0.0000 7.7473
Nb Cr Fe
4 4 4
Direct
0.3351 0.6703 0.6856
0.3351 0.6703 0.3144
0.6669 0.3337 0.1922
0.6669 0.3337 0.8078
0.6594 0.8280 0.0000
0.0019 0.0039 0.2590
0.1686 0.8280 0.0000
0.0019 0.0039 0.7410
0.8256 0.6511 0.5000
0.1700 0.3399 0.0000
0.8297 0.1686 0.5000
0.3389 0.1686 0.5000
```

---

# NbCrFe2

An optimized crystal structure of NbCrFe2 (PBEsol, Alexandria).

crystal system	cubic
uncorrected energy	-9.611	eV/atom

The structure in POSCAR format:
```
NbCrFe2
1.0
4.1291 0.0000 0.0000
2.0646 3.5759 0.0000
2.0646 1.1920 3.3714
Nb Cr Fe
1 1 2
Direct
0.5000 0.5000 0.5000
0.0000 0.0000 0.0000
0.7500 0.7500 0.7500
0.2500 0.2500 0.2500
```